(1)
## Al2TlSbRh (PBE)

Data for a relaxed Al2TlSbRh crystal.

VASP energy ... -4.2033 eV/atom
Raw formation energy ... 0.062 eV per atom

a = 4.757 Å, b = 4.757 Å, c = 5.299 Å
α = 90.00°, β = 90.00°, γ = 90.00°
Sites, in units of the cell vectors:
Al1 0.000 0.500 0.000
Al2 0.500 0.000 0.000
Tl1 0.000 0.000 0.500
Sb1 0.500 0.500 0.500
Rh1 0.000 0.000 0.000

(2)
## Sc2Al5Rh3 (PBE)

Data for a relaxed Sc2Al5Rh3 crystal.

VASP energy ... -6.1467 eV/atom
Formation energy ... -804 meV/atom

a = 7.790 Å, b = 7.790 Å, c = 5.571 Å
α = 98.35°, β = 98.35°, γ = 99.01°
Sites, in units of the cell vectors:
Sc1 0.110 0.668 0.914
Sc2 0.332 0.890 0.586
Sc3 0.668 0.110 0.414
Sc4 0.890 0.332 0.086
Al1 0.003 0.997 0.250
Al2 0.225 0.533 0.388
Al3 0.240 0.328 0.951
Al4 0.328 0.240 0.451
Al5 0.467 0.775 0.112
Al6 0.533 0.225 0.888
Al7 0.672 0.760 0.549
Al8 0.760 0.672 0.049
Al9 0.775 0.467 0.612
Al10 0.997 0.003 0.750
Rh1 0.022 0.304 0.568
Rh2 0.304 0.022 0.068
Rh3 0.470 0.530 0.750
Rh4 0.530 0.470 0.250
Rh5 0.696 0.978 0.932
Rh6 0.978 0.696 0.432

(3)
## Sc5AlRh6 (PBE)

Data for a relaxed Sc5AlRh6 crystal.

VASP energy ... -7.6625 eV/atom
Formation energy ... -1037 meV/atom

a = 7.802 Å, b = 7.802 Å, c = 4.511 Å
α = 106.76°, β = 106.76°, γ = 119.82°
Sites, in units of the cell vectors:
Sc1 0.000 0.000 0.000
Sc2 0.168 0.832 0.500
Sc3 0.339 0.661 0.000
Sc4 0.661 0.339 0.000
Sc5 0.832 0.168 0.500
Al1 0.500 0.500 0.500
Rh1 0.089 0.417 0.253
Rh2 0.253 0.253 0.753
Rh3 0.417 0.089 0.253
Rh4 0.583 0.911 0.747
Rh5 0.747 0.747 0.247
Rh6 0.911 0.583 0.747

Which formula does entry 1 have?
Al2TlSbRh

The lowest VASP energy belongs to which entry?
Sc5AlRh6

What did the third record say?
## Sc5AlRh6 (PBE)

Data for a relaxed Sc5AlRh6 crystal.

VASP energy ... -7.6625 eV/atom
Formation energy ... -1037 meV/atom

a = 7.802 Å, b = 7.802 Å, c = 4.511 Å
α = 106.76°, β = 106.76°, γ = 119.82°
Sites, in units of the cell vectors:
Sc1 0.000 0.000 0.000
Sc2 0.168 0.832 0.500
Sc3 0.339 0.661 0.000
Sc4 0.661 0.339 0.000
Sc5 0.832 0.168 0.500
Al1 0.500 0.500 0.500
Rh1 0.089 0.417 0.253
Rh2 0.253 0.253 0.753
Rh3 0.417 0.089 0.253
Rh4 0.583 0.911 0.747
Rh5 0.747 0.747 0.247
Rh6 0.911 0.583 0.747

What is the VASP energy in the third record?
-7.6625 eV/atom